Entry from Alexandria via LeMat-Bulk: Pr2DyHo2 after structural relaxation (PBE-GGA).

Lattice parameters (Å, degrees): 3.6003 3.5981 15.1634 96.76 83.18 59.98
Element x y z (fractional)
1 Pr 0.2250 0.4432 0.1068
2 Pr 0.7750 0.5568 0.8932
3 Dy 0.5000 0.5000 0.5000
4 Ho 0.6412 0.0243 0.6934
5 Ho 0.3588 0.9757 0.3066

Summary:
ΔE to the lowest computed polymorph (meV per atom): 0
DFT total energy (Ha/atom): -0.170
Energy of formation from the pure elements (eV/atom): 0.027